CaHfPd2, optimized geometry, DFT GGA-PBE; mass density = 8.7 Mg/m³; ΔE_f = -0.7124 eV per atom; D(E_F) = 2.75 states/eV/cell; crystal system = tetragonal; total magnetization = 0.000 μB per formula unit
1.0
-2.0192 2.5525 0.8036
-2.6701 -1.9884 -0.3932
0.3864 -1.9120 7.0444
Ca Hf Pd
1 1 2
Cartesian
-2.1515 -0.6740 3.7274
-2.3447 0.2820 0.2052
0.3076 -1.5221 5.6080
0.0788 -0.3899 1.4364